VASP calculation (GGA-PBE) on Ag12As3F5 after structural relaxation.

Properties
Electronic total energy, eV per atom: -3.270
Space-group type: No. 230
M_tot, Bohr magnetons per cell: 0.00
DOS(E_F), states/eV per cell: 17.30
Formation energy (no corrections), eV per atom: -0.39
Calculated density, g/cm3: 6.74

a b c (Å): 12.739 12.739 12.739
angles (deg): 109.47 109.47 109.47
Fractional coordinates of all 80 atoms:
As (0.750, 0.375, 0.125)
As (0.875, 0.750, 0.125)
As (0.375, 0.750, 0.625)
As (0.250, 0.125, 0.375)
As (0.875, 0.125, 0.250)
As (0.375, 0.625, 0.250)
As (0.625, 0.375, 0.750)
As (0.125, 0.875, 0.750)
As (0.750, 0.875, 0.625)
As (0.625, 0.250, 0.375)
As (0.125, 0.250, 0.875)
As (0.250, 0.625, 0.875)
F (0.125, 0.375, 0.250)
F (0.000, 0.500, 0.000)
F (0.000, 0.000, 0.000)
F (0.375, 0.250, 0.125)
F (0.500, 0.000, 0.500)
F (0.500, 0.500, 0.000)
F (0.125, 0.750, 0.375)
F (0.750, 0.125, 0.875)
F (0.750, 0.625, 0.375)
F (0.375, 0.125, 0.750)
F (0.625, 0.875, 0.250)
F (0.500, 0.500, 0.500)
F (0.500, 0.000, 0.000)
F (0.000, 0.000, 0.500)
F (0.250, 0.375, 0.625)
F (0.250, 0.875, 0.125)
F (0.000, 0.500, 0.500)
F (0.875, 0.250, 0.625)
F (0.625, 0.750, 0.875)
F (0.875, 0.625, 0.750)
Ag (0.731, 0.131, 0.055)
Ag (0.324, 0.555, 0.424)
Ag (0.945, 0.369, 0.269)
Ag (0.555, 0.231, 0.131)
Ag (0.601, 0.731, 0.676)
Ag (0.945, 0.576, 0.176)
Ag (0.324, 0.769, 0.399)
Ag (0.076, 0.899, 0.131)
Ag (0.576, 0.945, 0.676)
Ag (0.731, 0.601, 0.176)
Ag (0.769, 0.445, 0.369)
Ag (0.824, 0.924, 0.055)
Ag (0.131, 0.731, 0.555)
Ag (0.369, 0.424, 0.101)
Ag (0.101, 0.924, 0.369)
Ag (0.399, 0.131, 0.576)
Ag (0.101, 0.176, 0.231)
Ag (0.445, 0.676, 0.076)
Ag (0.824, 0.899, 0.269)
Ag (0.131, 0.399, 0.076)
Ag (0.369, 0.945, 0.769)
Ag (0.576, 0.631, 0.399)
Ag (0.924, 0.824, 0.555)
Ag (0.769, 0.324, 0.899)
Ag (0.424, 0.369, 0.601)
Ag (0.076, 0.176, 0.445)
Ag (0.231, 0.676, 0.101)
Ag (0.176, 0.101, 0.731)
Ag (0.631, 0.055, 0.231)
Ag (0.869, 0.601, 0.924)
Ag (0.555, 0.324, 0.924)
Ag (0.601, 0.869, 0.424)
Ag (0.899, 0.824, 0.769)
Ag (0.899, 0.076, 0.631)
Ag (0.869, 0.269, 0.445)
Ag (0.176, 0.076, 0.945)
Ag (0.631, 0.576, 0.899)
Ag (0.424, 0.055, 0.324)
Ag (0.269, 0.399, 0.824)
Ag (0.231, 0.555, 0.631)
Ag (0.924, 0.101, 0.869)
Ag (0.676, 0.231, 0.601)
Ag (0.445, 0.769, 0.869)
Ag (0.055, 0.424, 0.824)
Ag (0.399, 0.269, 0.324)
Ag (0.055, 0.631, 0.731)
Ag (0.676, 0.445, 0.576)
Ag (0.269, 0.869, 0.945)